{"formula": "CoSiCl2", "functional": "GGA-PBEsol", "state": "relaxed", "relative_energy_kcal_per_mol_atoms": 21.94, "formation_energy_uncorrected_ev_per_atom": 0.62, "space_group": "F-43m", "lattice_angstrom": [[4.4605, 0.0000, 0.0000], [2.2302, 3.8629, 0.0000], [2.2302, 1.2876, 3.6420]], "species": ["Cl", "Cl", "Co", "Si"], "fractional_positions": [[0.0000, 0.0000, 0.0000], [0.7500, 0.7500, 0.7500], [0.5000, 0.5000, 0.5000], [0.2500, 0.2500, 0.2500]]}